[1]
The following is a PBE-GGA calculation of crystalline Tb6PrTl6 at its relaxed geometry, from Alexandria via LeMat-Bulk.

Values from the calculation:
E_form	-20.4	kJ/mol of atoms
Fermi-level density of states	13.621	states/eV/f.u.

a = 6.4592 Å, b = 6.4592 Å, c = 10.6310 Å
α = 90.00°, β = 90.00°, γ = 120.00°
Space group P6/mmm (No. 191)
Unique sites:
Tb (0.0000, 0.0000, 0.1636) [2 per cell]
Tb (0.3333, 0.6667, 0.0000) [2 per cell]
Tb (0.3333, 0.6667, 0.5000) [2 per cell]
Pr (0.0000, 0.0000, 0.5000) [1 per cell]
Tl (0.0000, 0.5000, 0.2538) [6 per cell]

=====

[2]
The following is a PBE-GGA calculation of crystalline Tb3Pr3Tl5 at its relaxed geometry, from Alexandria via LeMat-Bulk.

Values from the calculation:
E_form	41.5	kJ/mol of atoms
Fermi-level density of states	9.901	states/eV/f.u.

a = 9.0990 Å, b = 9.0990 Å, c = 6.1769 Å
α = 90.00°, β = 90.00°, γ = 120.00°
Space group P-62m (No. 189)
Unique sites:
Tb (0.0000, 0.2407, 0.0000) [3 per cell]
Pr (0.0000, 0.2533, 0.5000) [3 per cell]
Tl (0.0000, 0.6192, 0.0000) [3 per cell]
Tl (0.3333, 0.6667, 0.0000) [2 per cell]

=====

[3]
The following is a PBE-GGA calculation of crystalline TbPr2Tl3 at its relaxed geometry, from Alexandria via LeMat-Bulk.

Values from the calculation:
E_form	-37.2	kJ/mol of atoms
Fermi-level density of states	5.161	states/eV/f.u.

a = 3.860 Å, b = 3.860 Å, c = 11.875 Å
α = 90.00°, β = 90.00°, γ = 90.00°
Space group P4/mmm (No. 123)
Unique sites:
Tb (0.000, 0.000, 0.000) [1 per cell]
Pr (0.000, 0.000, 0.328) [2 per cell]
Tl (0.500, 0.500, 0.155) [2 per cell]
Tl (0.500, 0.500, 0.500) [1 per cell]

=====

[4]
The following is a PBE-GGA calculation of crystalline TbPr6Tl at its relaxed geometry, from Alexandria via LeMat-Bulk.

Values from the calculation:
E_form	-8.5	kJ/mol of atoms
Fermi-level density of states	9.041	states/eV/f.u.
energy above the lowest structure with this stoichiometry	0	meV/atom

a = 5.072 Å, b = 5.072 Å, c = 10.453 Å
α = 90.00°, β = 90.00°, γ = 90.00°
Space group P4/mmm (No. 123)
Unique sites:
Tb (0.000, 0.000, 0.000) [1 per cell]
Pr (0.000, 0.500, 0.256) [4 per cell]
Pr (0.500, 0.500, 0.000) [1 per cell]
Pr (0.500, 0.500, 0.500) [1 per cell]
Tl (0.000, 0.000, 0.500) [1 per cell]

=====

[5]
The following is a PBE-GGA calculation of crystalline TbPr5Tl at its relaxed geometry, from Alexandria via LeMat-Bulk.

Values from the calculation:
E_form	24.0	kJ/mol of atoms
Fermi-level density of states	12.020	states/eV/f.u.

a = 5.730 Å, b = 5.730 Å, c = 7.596 Å
α = 90.00°, β = 90.00°, γ = 90.00°
Space group P4/mmm (No. 123)
Unique sites:
Tb (0.000, 0.000, 0.000) [1 per cell]
Pr (0.000, 0.500, 0.241) [4 per cell]
Pr (0.500, 0.500, 0.500) [1 per cell]
Tl (0.000, 0.000, 0.500) [1 per cell]

=====

[6]
The following is a PBE-GGA calculation of crystalline TbPr2Tl9 at its relaxed geometry, from Alexandria via LeMat-Bulk.

Values from the calculation:
E_form	-29.2	kJ/mol of atoms
Fermi-level density of states	4.572	states/eV/f.u.

a = 4.829 Å, b = 4.829 Å, c = 14.483 Å
α = 90.00°, β = 90.00°, γ = 90.00°
Space group P4/mmm (No. 123)
Unique sites:
Tb (0.000, 0.000, 0.000) [1 per cell]
Pr (0.000, 0.000, 0.331) [2 per cell]
Tl (0.000, 0.500, 0.163) [4 per cell]
Tl (0.000, 0.500, 0.500) [2 per cell]
Tl (0.500, 0.500, 0.000) [1 per cell]
Tl (0.500, 0.500, 0.332) [2 per cell]

=====

[7]
The following is a PBE-GGA calculation of crystalline Tb4PrTl4 at its relaxed geometry, from Alexandria via LeMat-Bulk.

Values from the calculation:
E_form	-16.4	kJ/mol of atoms
Fermi-level density of states	7.307	states/eV/f.u.

a = 9.494 Å, b = 9.494 Å, c = 5.969 Å
α = 90.00°, β = 90.00°, γ = 90.00°
Space group P4_2/n (No. 86, origin choice 2)
Unique sites:
Tb (0.092, 0.828, 0.139) [8 per cell]
Pr (0.250, 0.250, 0.750) [2 per cell]
Tl (0.037, 0.144, 0.350) [8 per cell]

=====

[8]
The following is a PBE-GGA calculation of crystalline Tb5Pr12Tl2 at its relaxed geometry, from Alexandria via LeMat-Bulk.

Values from the calculation:
E_form	0.7	kJ/mol of atoms
Fermi-level density of states	26.020	states/eV/f.u.

a = 15.674 Å, b = 9.503 Å, c = 8.726 Å
α = 90.00°, β = 93.40°, γ = 90.00°
Space group C2/m (No. 12)
Unique sites:
Tb (0.000, 0.000, 0.000) [2 per cell]
Tb (0.185, 0.500, 0.506) [4 per cell]
Tb (0.232, 0.000, 0.086) [4 per cell]
Pr (0.057, 0.500, 0.819) [4 per cell]
Pr (0.083, 0.000, 0.384) [4 per cell]
Pr (0.124, 0.306, 0.158) [8 per cell]
Pr (0.150, 0.185, 0.734) [8 per cell]
Tl (0.000, 0.319, 0.500) [4 per cell]

=====

Q: Among the records above, which one has the lowest Fermi-level density of states?
A: TbPr2Tl9

=====

Q: Which of these has the lowest Fermi-level density of states?
A: TbPr2Tl9

=====

What did the sixth record say?
The following is a PBE-GGA calculation of crystalline TbPr2Tl9 at its relaxed geometry, from Alexandria via LeMat-Bulk.

Values from the calculation:
E_form	-29.2	kJ/mol of atoms
Fermi-level density of states	4.572	states/eV/f.u.

a = 4.829 Å, b = 4.829 Å, c = 14.483 Å
α = 90.00°, β = 90.00°, γ = 90.00°
Space group P4/mmm (No. 123)
Unique sites:
Tb (0.000, 0.000, 0.000) [1 per cell]
Pr (0.000, 0.000, 0.331) [2 per cell]
Tl (0.000, 0.500, 0.163) [4 per cell]
Tl (0.000, 0.500, 0.500) [2 per cell]
Tl (0.500, 0.500, 0.000) [1 per cell]
Tl (0.500, 0.500, 0.332) [2 per cell]

=====

Q: The highest Fermi-level density of states belongs to which entry?
A: Tb5Pr12Tl2